Record 1
First-principles (PBE-GGA) data for HoErCuGe after structural relaxation, as listed in Alexandria via LeMat-Bulk.

D(E_F) = 11.8 states/eV/cell
DFT formation energy = -2.0 eV/f.u.
Spin magnetization = 0.0 μB per formula unit

a = 6.979 Å, b = 6.979 Å, c = 6.979 Å
α = 90.00°, β = 90.00°, γ = 90.00°
Space group F-43m (No. 216)
Symmetry-distinct sites (fractional):
Ho 0.000 0.000 0.000 x4
Er 0.000 0.000 0.500 x4
Cu 0.250 0.250 0.250 x4
Ge 0.250 0.250 0.750 x4


Record 2
First-principles (PBE-GGA) data for Er2CuGe4Ir3 after structural relaxation, as listed in Alexandria via LeMat-Bulk.

D(E_F) = 5.2 states/eV/cell
DFT formation energy = -6.4 eV/f.u.
Spin magnetization = 0.0 μB per formula unit

a = 4.188 Å, b = 4.188 Å, c = 10.221 Å
α = 90.00°, β = 90.00°, γ = 90.00°
Space group P-4m2 (No. 115)
Symmetry-distinct sites (fractional):
Er 0.000 0.500 0.246 x2
Cu 0.000 0.000 0.500 x1
Ge 0.000 0.000 0.000 x1
Ge 0.000 0.500 0.632 x2
Ge 0.500 0.500 0.000 x1
Ir 0.000 0.500 0.869 x2
Ir 0.500 0.500 0.500 x1


Record 3
First-principles (PBE-GGA) data for LaEr2Cu2Ge2 after structural relaxation, as listed in Alexandria via LeMat-Bulk.

D(E_F) = 10.4 states/eV/cell
DFT formation energy = -3.5 eV/f.u.
Spin magnetization = 0.0 μB per formula unit

a = 4.3490 Å, b = 4.3490 Å, c = 27.9402 Å
α = 90.00°, β = 90.00°, γ = 120.00°
Space group R-3m (No. 166, hexagonal axes)
Symmetry-distinct sites (fractional):
La 0.0000 0.0000 0.0000 x3
Er 0.0000 0.0000 0.1287 x6
Cu 0.0000 0.0000 0.4099 x6
Ge 0.0000 0.0000 0.2573 x6


Record 4
First-principles (PBE-GGA) data for La2ErCu3Ge4 after structural relaxation, as listed in Alexandria via LeMat-Bulk.

D(E_F) = 2.3 states/eV/cell
DFT formation energy = -5.8 eV/f.u.
Spin magnetization = 0.0 μB per formula unit

a = 4.359 Å, b = 4.359 Å, c = 10.820 Å
α = 90.00°, β = 90.00°, γ = 90.00°
Space group P-4m2 (No. 115)
Symmetry-distinct sites (fractional):
La 0.000 0.500 0.226 x2
Er 0.000 0.000 0.500 x1
Cu 0.000 0.500 0.886 x2
Cu 0.500 0.500 0.500 x1
Ge 0.000 0.000 0.000 x1
Ge 0.000 0.500 0.660 x2
Ge 0.500 0.500 0.000 x1


Record 5
First-principles (PBE-GGA) data for LaErCu2Ge2 after structural relaxation, as listed in Alexandria via LeMat-Bulk.

D(E_F) = 1.3 states/eV/cell
DFT formation energy = -4.1 eV/f.u.
Spin magnetization = 0.0 μB per formula unit

a = 4.2911 Å, b = 4.2911 Å, c = 7.6601 Å
α = 90.00°, β = 90.00°, γ = 120.00°
Space group P-3m1 (No. 164)
Symmetry-distinct sites (fractional):
La 0.0000 0.0000 0.0000 x1
Er 0.0000 0.0000 0.5000 x1
Cu 0.3333 0.6667 0.7161 x2
Ge 0.3333 0.6667 0.2663 x2


Record 6
First-principles (PBE-GGA) data for LiErCuGe2 after structural relaxation, as listed in Alexandria via LeMat-Bulk.

D(E_F) = 2.4 states/eV/cell
DFT formation energy = -2.7 eV/f.u.
Spin magnetization = 0.0 μB per formula unit

a = 4.008 Å, b = 4.008 Å, c = 10.669 Å
α = 90.00°, β = 90.00°, γ = 90.00°
Space group I-4m2 (No. 119)
Symmetry-distinct sites (fractional):
Li 0.000 0.000 0.000 x2
Er 0.000 0.500 0.750 x2
Cu 0.000 0.000 0.500 x2
Ge 0.000 0.500 0.134 x4